## SrIn5NiPd (PBE)

Data for crystalline SrIn5NiPd at its relaxed geometry.

It has space group Imm2 (No. 44), with a = 4.3739 Å, b = 7.9671 Å, c = 10.7471 Å, α = 90.00°, β = 90.00° and γ = 90.00°. Symmetry generates all atoms from Sr at (0.0000, 0.0000, 0.0000), In at (0.0000, 0.1903, 0.3425), In at (0.0000, 0.2032, 0.6521), In at (0.0000, 0.5000, 0.9944), Ni at (0.0000, 0.5000, 0.7589) and Pd at (0.0000, 0.5000, 0.2406).

For the spin magnetization, the calculation gives 0.000 μB per atom. The total energy comes out at -3.62 eV/atom.